No. 1
VASP calculation (PBE-GGA) on a geometry-optimized Sm4Y3Mg structure.

- space-group type = C2/m, No. 12
- distance to the lowest polymorph of the same formula (meV per atom) = 0
- final energy (eV/atom) = -4.97
- crystal system = monoclinic
- total moment (μB/cell) = 0.00

Cell and atoms, written as CIF:
```
data_Sm4Y3Mg
_chemical_formula_sum 'Sm4 Y3 Mg1'
_cell_length_a 11.756
_cell_length_b 11.756
_cell_length_c 6.115
_cell_angle_alpha 93.47
_cell_angle_beta 93.47
_cell_angle_gamma 17.63
_space_group_name_H-M_alt 'P 1'
_space_group_IT_number 1
loop_
_space_group_symop_operation_xyz
'x,y,z'
loop_
_atom_site_label
_atom_site_type_symbol
_atom_site_fract_x
_atom_site_fract_y
_atom_site_fract_z
_atom_site_occupancy
Sm1 Sm 0.121 0.121 0.382 1
Sm2 Sm 0.374 0.374 0.113 1
Sm3 Sm 0.626 0.626 0.887 1
Sm4 Sm 0.879 0.879 0.618 1
Y1 Y 0.000 0.000 0.000 1
Y2 Y 0.252 0.252 0.749 1
Y3 Y 0.748 0.748 0.251 1
Mg1 Mg 0.500 0.500 0.500 1
```

=====

No. 2
VASP calculation (PBE-GGA) on a geometry-optimized NbTe2Mo structure.

- space-group type = Fm-3m, No. 225
- distance to the lowest polymorph of the same formula (meV per atom) = 0
- final energy (eV/atom) = -6.65
- crystal system = cubic
- raw formation energy (meV/atom) = 145
- total moment (μB/cell) = 0.00

Cell and atoms, written as CIF:
```
data_NbTe2Mo
_chemical_formula_sum 'Nb1 Te2 Mo1'
_cell_length_a 4.783
_cell_length_b 4.783
_cell_length_c 4.783
_cell_angle_alpha 60.00
_cell_angle_beta 60.00
_cell_angle_gamma 60.00
_space_group_name_H-M_alt 'P 1'
_space_group_IT_number 1
loop_
_space_group_symop_operation_xyz
'x,y,z'
loop_
_atom_site_label
_atom_site_type_symbol
_atom_site_fract_x
_atom_site_fract_y
_atom_site_fract_z
_atom_site_occupancy
Nb1 Nb 0.000 0.000 0.000 1
Te1 Te 0.250 0.250 0.250 1
Te2 Te 0.750 0.750 0.750 1
Mo1 Mo 0.500 0.500 0.500 1
```

=====

> What is the formula in the first record?

Sm4Y3Mg